PmThPa2 (PBE-GGA, relaxed); offset from the most stable computed form = 0.1061 eV per atom; SG = R-3m
1.0
3.297 0.000 0.000
1.649 2.856 0.000
1.649 0.952 12.205
Pa Th Pm
2 1 1
direct
0.913 0.913 0.261
0.087 0.087 0.739
0.500 0.500 0.500
0.000 0.000 0.000



Li2Mg3Pd6 (PBE-GGA, relaxed); SG = I4/mmm
1.0
-3.632 1.016 -1.537
1.482 -0.409 -3.771
-1.814 -10.653 2.642
Pd Mg Li
6 3 2
direct
0.899 0.399 0.798
0.307 0.307 0.615
0.399 0.899 0.798
0.101 0.601 0.202
0.693 0.693 0.385
0.601 0.101 0.202
0.813 0.813 0.626
0.000 0.000 0.000
0.187 0.187 0.374
0.547 0.547 0.094
0.453 0.453 0.906



TlSbF3 (PBE-GGA, relaxed); offset from the most stable computed form = 0.8937 eV per atom; energy relative to the elements, uncorrected = -1.034 eV/atom; SG = Pm-3m
1.0
-1.754 -3.992 -1.607
4.248 -1.329 -1.336
0.688 -1.973 4.151
F Sb Tl
3 1 1
direct
0.000 0.000 0.500
0.000 0.500 0.000
0.500 0.000 0.000
0.500 0.500 0.500
0.000 0.000 0.000



In2FeMo (PBE-GGA, relaxed); offset from the most stable computed form = 0.1898 eV per atom; SG = P2/m
1.0
-1.764 0.273 3.762
-0.394 -2.862 0.023
4.885 -3.551 2.548
Mo In Fe
1 2 1
direct
0.500 0.250 0.250
0.000 0.004 0.996
0.000 0.496 0.504
0.500 0.750 0.750



| no. | mass density (Mg/m³) | total DFT energy (no corrections) (eV per atom) |
| --- | --- | --- |
| 1 | 12.1 | -7.45 |
| 2 | 6.8 | -3.96 |
| 3 | 6.3 | -3.45 |
| 4 | 8.9 | -5.76 |